A geometry-optimized BaLi2Si structure, computed with GGA-PBEsol.

The magnetization comes out at 0.00 μB/cell. As for the density of states at the Fermi level: 0.54 states/eV/f.u. For the formation energy (no corrections), the calculation gives -0.067 eV/atom.

It has space group I4_1/amd (No. 141, origin choice 2), with a = 5.0928 Å, b = 5.0928 Å, c = 17.0314 Å, α = 90.00°, β = 90.00° and γ = 90.00°. The asymmetric unit holds Ba at (0.0000, 0.2500, 0.3750), Li at (0.0000, 0.0000, 0.0000) and Si at (0.0000, 0.2500, 0.8750).